Li2FeNi5B2 GGA-PBE relaxed; density of states at the Fermi level = 14.67 states/eV/cell; final energy = -5.638 eV/atom; formation enthalpy at 0 K = -0.1831 eV per atom
1.0
8.833 0.000 0.000
0.000 8.833 0.000
0.000 0.000 2.690
Li Fe Ni B
4 2 10 4
Cartesian
1.570 2.846 0.000
2.846 7.263 0.000
5.987 1.570 0.000
7.263 5.987 0.000
0.000 0.000 0.000
4.416 4.416 0.000
0.000 4.416 1.345
0.596 6.886 1.345
1.947 0.596 1.345
2.470 5.012 1.345
3.821 2.470 1.345
4.416 0.000 1.345
5.012 6.363 1.345
6.363 3.821 1.345
6.886 8.237 1.345
8.237 1.947 1.345
1.095 5.511 0.000
3.322 1.095 0.000
5.511 7.738 0.000
7.738 3.322 0.000

=====

K3In3HgI8 GGA-PBE relaxed; formation energy (no corrections) = -12.06 eV/f.u.; final energy = -2.418 eV/atom
1.0
4.994 2.883 8.148
-4.994 2.883 8.148
0.000 -5.766 8.148
K In Hg I
3 3 1 8
Cartesian
-2.497 -1.442 8.148
-2.497 1.442 16.295
0.000 2.883 8.148
-4.994 0.000 12.222
-2.497 1.442 4.074
2.497 1.442 4.074
0.000 0.000 0.000
-2.811 -1.623 14.482
0.000 -3.246 9.962
-2.811 1.623 9.962
0.000 0.000 6.103
0.000 0.000 18.340
2.811 -1.623 14.482
0.000 3.246 14.482
2.811 1.623 9.962

=====

BaY2 GGA-PBE relaxed; polymorph energy (0 for the lowest one) = 2.71 kcal/mol of atoms; density of states at the Fermi level = 17.94 states/eV/cell; final energy = -4.672 eV/atom; formation enthalpy at 0 K = 0.2781 eV per atom
1.0
10.458 0.000 0.000
-5.229 9.057 0.000
0.000 0.000 3.622
Ba Y
3 6
Cartesian
0.000 0.000 0.000
0.000 6.038 1.811
5.229 3.019 1.811
-1.674 2.899 1.811
-3.425 5.932 0.000
3.348 0.000 1.811
1.804 3.125 0.000
6.850 0.000 0.000
3.555 6.158 1.811

=====

Cd2SiCl GGA-PBE relaxed; formation energy (no corrections) = 0.51 eV/f.u.; polymorph energy (0 for the lowest one) = 4.73 kcal/mol of atoms; density of states at the Fermi level = 4.30 states/eV/cell; final energy = -2.147 eV/atom
1.0
3.067 0.000 0.000
0.000 5.416 0.000
0.000 0.000 10.566
Cd Si Cl
4 2 2
Cartesian
0.000 0.000 0.000
0.000 2.708 2.632
1.534 0.000 7.915
1.534 2.708 5.283
0.000 2.708 7.688
1.534 0.000 2.405
0.000 0.000 5.417
1.534 2.708 0.134

=====

Sm5Y3S8 GGA-PBE relaxed; formation energy (no corrections) = -32.16 eV/f.u.; density of states at the Fermi level = 9.04 states/eV/cell; final energy = -6.760 eV/atom
1.0
3.972 2.293 6.509
-3.972 2.293 6.509
0.000 -4.586 6.509
Sm Y S
5 3 8
Cartesian
0.000 0.000 0.000
-1.986 -1.147 6.509
-1.986 1.147 13.019
0.000 2.293 6.509
0.000 0.000 9.764
-3.972 0.000 9.764
-1.986 1.147 3.255
1.986 1.147 3.255
-2.011 -1.161 11.349
0.000 0.000 4.821
0.000 -2.322 8.178
-2.011 1.161 8.178
2.011 -1.161 11.349
0.000 2.322 11.349
0.000 0.000 14.707
2.011 1.161 8.178

=====

MgIn2Rh GGA-PBE relaxed; density of states at the Fermi level = 7.22 states/eV/cell; final energy = -3.722 eV/atom; formation enthalpy at 0 K = -0.1165 eV per atom
1.0
3.254 0.000 0.000
-1.627 2.818 0.000
0.000 0.000 27.075
Mg In Rh
3 6 3
Cartesian
0.000 0.000 0.000
0.000 1.879 18.050
1.627 0.939 9.025
0.000 0.000 6.524
0.000 0.000 20.551
0.000 1.879 11.526
0.000 1.879 24.574
1.627 0.939 2.501
1.627 0.939 15.549
0.000 0.000 13.538
0.000 1.879 4.513
1.627 0.939 22.563

=====

Nd12Ag6N GGA-PBE relaxed; formation energy (no corrections) = -3.90 eV/f.u.; density of states at the Fermi level = 21.80 states/eV/cell; final energy = -4.555 eV/atom
1.0
6.078 3.509 4.357
-6.078 3.509 4.357
0.000 -7.018 4.357
Nd Ag N
12 6 1
Cartesian
-5.358 -1.511 7.186
-1.371 -5.395 5.885
-1.305 -1.573 5.079
-3.987 3.885 5.885
-0.710 1.916 5.079
-2.015 0.343 7.992
2.015 -0.343 5.079
0.710 -1.916 7.992
3.987 -3.885 7.186
1.305 1.573 7.992
1.371 5.395 7.186
5.358 1.511 5.885
-3.711 0.678 5.449
-2.443 -2.875 7.622
1.268 -3.553 5.449
-1.268 3.553 7.622
2.443 2.875 5.449
3.711 -0.678 7.622
0.000 0.000 6.535

=====

Dy2ZnCu2Rh5 GGA-PBE relaxed; density of states at the Fermi level = 22.17 states/eV/cell; final energy = -5.983 eV/atom; formation enthalpy at 0 K = -0.4405 eV per atom
1.0
9.234 0.000 0.000
0.000 9.234 0.000
0.000 0.000 3.824
Dy Zn Cu Rh
4 2 4 10
Cartesian
1.617 3.000 0.000
3.000 7.617 0.000
6.233 1.617 0.000
7.617 6.233 0.000
0.000 0.000 0.000
4.617 4.617 0.000
1.136 5.753 0.000
3.481 1.136 0.000
5.753 8.098 0.000
8.098 3.481 0.000
0.000 4.617 1.912
0.619 7.367 1.912
1.867 0.619 1.912
2.750 5.236 1.912
3.997 2.750 1.912
4.617 0.000 1.912
5.236 6.484 1.912
6.484 3.997 1.912
7.367 8.614 1.912
8.614 1.867 1.912

=====

K3Y2ErTe6 GGA-PBE relaxed; formation energy (no corrections) = -16.83 eV/f.u.; final energy = -4.705 eV/atom
1.0
3.887 -6.732 0.000
3.887 6.732 0.000
-2.592 0.000 8.240
K Y Er Te
3 2 1 6
Cartesian
0.000 0.000 0.000
3.887 2.254 0.000
3.887 -2.254 0.000
2.591 4.489 4.120
2.591 -4.489 4.120
2.591 0.000 4.120
1.304 2.230 2.405
0.017 0.000 5.837
1.304 -2.230 2.405
3.878 2.230 5.835
5.165 0.000 2.403
3.878 -2.230 5.835

=====

Hf6Ni2N GGA-PBE relaxed; formation energy (no corrections) = -5.69 eV/f.u.; polymorph energy (0 for the lowest one) = 0.89 kcal/mol of atoms; density of states at the Fermi level = 14.20 states/eV/cell; final energy = -9.477 eV/atom
1.0
5.715 0.000 0.000
0.000 6.253 0.000
-5.352 0.000 8.877
Hf Ni N
12 4 2
Cartesian
-0.724 0.166 2.161
-3.400 2.961 6.600
0.993 4.285 0.503
-1.683 5.095 4.941
1.844 1.172 0.521
-0.832 1.955 4.960
1.195 4.298 3.917
-1.481 5.082 8.355
2.046 1.159 3.936
-0.630 1.968 8.374
3.763 3.293 2.277
1.087 6.087 6.715
-2.184 0.655 6.724
0.492 2.471 2.286
-0.129 3.782 6.591
2.547 5.598 2.153
0.000 0.000 0.000
-2.676 3.127 4.438

=====

La2FeSnHg GGA-PBE relaxed; density of states at the Fermi level = 5.69 states/eV/cell; final energy = -4.859 eV/atom; formation enthalpy at 0 K = -0.3345 eV per atom
1.0
5.270 0.000 0.000
0.000 5.270 0.000
0.000 0.000 4.951
La Fe Sn Hg
2 1 1 1
Cartesian
0.000 2.635 0.000
2.635 0.000 0.000
0.000 0.000 0.000
0.000 0.000 2.476
2.635 2.635 2.476

=====

Li2WAu GGA-PBE relaxed; polymorph energy (0 for the lowest one) = 3.90 kcal/mol of atoms; density of states at the Fermi level = 2.03 states/eV/cell; final energy = -4.754 eV/atom; formation enthalpy at 0 K = 0.2605 eV per atom
1.0
2.650 0.000 0.000
0.000 4.357 0.000
0.000 0.000 5.576
Li W Au
2 1 1
Cartesian
0.000 0.000 0.000
1.325 2.178 1.184
0.000 0.000 2.842
1.325 2.178 3.963